# 1
{
  "formula": "LaCeIn2",
  "functional": "PBE",
  "state": "optimized geometry",
  "cell": [[-2.3658, -3.9219, 0.5906], [1.1186, 0.0621, 4.8931], [-4.1634, 2.6497, 0.9181]],
  "species": ["Ce", "In", "In", "La"],
  "fractional_positions": [[0.5000, 0.5000, 0.5000], [0.0000, 0.0000, 0.5000], [0.0000, 0.5000, 0.0000], [0.5000, 0.0000, 0.0000]]
}


# 2
{
  "formula": "YCu2Ir",
  "functional": "PBE",
  "state": "optimized geometry",
  "cell": [[4.9321, 0.0151, -0.0605], [1.5977, 4.6662, 0.0605], [-3.2334, -2.3846, 2.8616]],
  "species": ["Ir", "Y", "Cu", "Cu"],
  "fractional_positions": [[0.4998, 0.4998, 0.0000], [0.2500, 0.7500, 0.5000], [0.0003, 0.0003, 0.0000], [0.7500, 0.2500, 0.5000]],
  "e_above_lowest_polymorph_ev_per_fu": 0.296
}


Number 1: formation energy from the elements -0.4156 eV/atom. Number 2: formation energy from the elements -0.2073 eV/atom.